CsSiAu3: optimized geometry, PBE.

Computed properties:
calculated density	8.34	Mg/m³
M_tot	0.0	Bohr magnetons per cell
E_form (uncorrected)	-0.109	eV/atom
space group	C2/m

Unit cell a=22.108 b=9.126 c=9.126 alpha=150.98 beta=155.81 gamma=24.19
Element x y z (fractional)
Au 0.638 0.704 0.296
Au 0.661 0.365 0.635
Au 0.508 0.696 0.304
Au 0.362 0.296 0.704
Au 0.492 0.304 0.696
Au 0.339 0.635 0.365
Cs 0.073 0.300 0.700
Cs 0.927 0.700 0.300
Si 0.322 0.792 0.208
Si 0.678 0.208 0.792